Entry 1:
## RhSeCl2 (PBE-GGA)

Data for crystalline RhSeCl2 at its relaxed geometry.

Output
Its energy relative to the elements, uncorrected is 464 meV/atom. Its energy relative to the lowest polymorph listed for this composition is 0.830 eV per atom.

a b c (Å): 3.0701 4.2941 5.5401
angles (deg): 90.00 90.00 90.00
Positions (direct):
1 Rh 0.0000 0.0000 0.0000
2 Se 0.5000 0.0000 0.5000
3 Cl 0.0000 0.5000 0.5000
4 Cl 0.5000 0.5000 0.0000

=====

Entry 2:
## ZnGa2Pd (PBE-GGA)

Data for crystalline ZnGa2Pd at its relaxed geometry.

Output
As for the formation enthalpy at 0 K: -0.18 eV per atom.

a b c (Å): 9.3034 9.3034 9.3034
angles (deg): 155.59 155.59 34.79
Positions (direct):
1 Zn 0.0000 0.0000 0.0000
2 Zn 0.7500 0.2500 0.5000
3 Ga 0.1314 0.6250 0.0064
4 Ga 0.3750 0.3814 0.5064
5 Ga 0.6186 0.1250 0.9936
6 Ga 0.8750 0.8686 0.4936
7 Pd 0.2500 0.7500 0.5000
8 Pd 0.5000 0.5000 0.0000

=====

no.,density (Mg/m³),uncorrected energy (eV per cell)
1,5.75,-12.7
2,7.53,-26.5